Material: Y3Er4Ni2Te2
Method: DFT, PBE-GGA
State: optimized geometry

Computed properties:
Total DFT energy (no corrections): -62.54 eV for the cell shown
Density: 7.6 g/cm3
V: 25.91 Å³/atom

Cell: 9.323 9.323 9.323 Å, 156.24 67.00 118.39°
Fractional positions:
Er  0.027  0.895  0.132
Er  0.099  0.746  0.353
Er  0.393  0.746  0.647
Er  0.763  0.895  0.868
Ni  0.643  0.404  0.239
Ni  0.165  0.404  0.761
Te  0.141  0.141  0.000
Te  0.742  0.242  0.500
Y  0.477  0.477  0.000
Y  0.413  0.097  0.315
Y  0.782  0.097  0.685